Run A
The following is a DFT calculation (GGA-PBE) of a relaxed structure of TbHoMgNi.

Cell: 7.139 7.139 7.139 Å, 90.00 90.00 90.00°
Space group F-43m (No. 216)
Unique sites:
Tb1 0.000 0.000 0.000 (multiplicity 4)
Ho1 0.000 0.000 0.500 (multiplicity 4)
Mg1 0.250 0.250 0.750 (multiplicity 4)
Ni1 0.250 0.250 0.250 (multiplicity 4)

Total magnetic moment in μB per formula unit: 0.00



Run B
The following is a DFT calculation (GGA-PBE) of a relaxed structure of TbHoMgNi.

Cell: 3.443 3.443 7.893 Å, 90.00 90.00 90.00°
Space group P4mm (No. 99)
Unique sites:
Tb1 0.000 0.000 0.000 (multiplicity 1)
Ho1 0.000 0.000 0.594 (multiplicity 1)
Mg1 0.500 0.500 0.299 (multiplicity 1)
Ni1 0.500 0.500 0.793 (multiplicity 1)

Total magnetic moment in μB per formula unit: 0.00



Which of them is the least stable? Correct choice: run A.